[1]
Mg2AlAg: relaxed, PBE-GGA.

Computed properties:
Total energy (eV per atom): -2.47
ΔH_f (0 K) (eV per atom): -0.019

a b c (Å): 4.7405 4.7405 4.7405
angles (deg): 60.00 60.00 60.00
Element x y z (fractional)
Ag (0.5000, 0.5000, 0.5000)
Al (0.7500, 0.7500, 0.7500)
Mg (0.0000, 0.0000, 0.0000)
Mg (0.2500, 0.2500, 0.2500)


[2]
BeIn: relaxed, PBE-GGA.

Computed properties:
Total energy (eV per atom): -2.94
ΔH_f (0 K) (eV per atom): 0.290

a b c (Å): 9.0693 9.0693 3.5316
angles (deg): 90.00 90.00 90.00
Element x y z (fractional)
Be (0.4127, 0.0705, 0.0000)
Be (0.5873, 0.9295, 0.0000)
Be (0.9295, 0.4127, 0.0000)
Be (0.0705, 0.5873, 0.0000)
Be (0.9127, 0.5705, 0.5000)
Be (0.0873, 0.4295, 0.5000)
Be (0.4295, 0.9127, 0.5000)
Be (0.5705, 0.0873, 0.5000)
In (0.2029, 0.8814, 0.0000)
In (0.7971, 0.1186, 0.0000)
In (0.1186, 0.2029, 0.0000)
In (0.8814, 0.7971, 0.0000)
In (0.7029, 0.3814, 0.5000)
In (0.2971, 0.6186, 0.5000)
In (0.6186, 0.7029, 0.5000)
In (0.3814, 0.2971, 0.5000)


[3]
Y2Al2InPt5: relaxed, PBE-GGA.

Computed properties:
Total energy (eV per atom): -6.30
ΔH_f (0 K) (eV per atom): -0.963

a b c (Å): 3.7408 9.8984 9.8984
angles (deg): 90.00 90.00 90.00
Element x y z (fractional)
Y (0.0000, 0.6779, 0.1779)
Y (0.0000, 0.3221, 0.8221)
Y (0.0000, 0.1779, 0.3221)
Y (0.0000, 0.8221, 0.6779)
Al (0.0000, 0.1200, 0.6200)
Al (0.0000, 0.8800, 0.3800)
Al (0.0000, 0.6200, 0.8800)
Al (0.0000, 0.3800, 0.1200)
In (0.0000, 0.0000, 0.0000)
In (0.0000, 0.5000, 0.5000)
Pt (0.5000, 0.2129, 0.0668)
Pt (0.5000, 0.7871, 0.9332)
Pt (0.5000, 0.0668, 0.7871)
Pt (0.5000, 0.7129, 0.4332)
Pt (0.5000, 0.9332, 0.2129)
Pt (0.5000, 0.2871, 0.5668)
Pt (0.5000, 0.5668, 0.7129)
Pt (0.5000, 0.4332, 0.2871)
Pt (0.5000, 0.5000, 0.0000)
Pt (0.5000, 0.0000, 0.5000)


[4]
Ce12Fe3N5: relaxed, PBE-GGA.

Computed properties:
Formation energy without anion corrections (eV per atom): -0.52
Total energy (eV per atom): -7.43

a b c (Å): 13.0860 13.0860 13.0860
angles (deg): 109.47 109.47 109.47
Last column: magnetic moment on the atom in μB.
Element x y z (fractional)
Fe (0.7500, 0.3750, 0.1250)  -0.54
Fe (0.8750, 0.7500, 0.1250)  -0.54
Fe (0.3750, 0.7500, 0.6250)  -0.54
Fe (0.2500, 0.1250, 0.3750)  -0.54
Fe (0.8750, 0.1250, 0.2500)  -0.54
Fe (0.3750, 0.6250, 0.2500)  -0.54
Fe (0.6250, 0.3750, 0.7500)  -0.54
Fe (0.1250, 0.8750, 0.7500)  -0.54
Fe (0.7500, 0.8750, 0.6250)  -0.54
Fe (0.6250, 0.2500, 0.3750)  -0.54
Fe (0.1250, 0.2500, 0.8750)  -0.54
Fe (0.2500, 0.6250, 0.8750)  -0.54
Ce (0.7108, 0.1212, 0.0315)  0.59
Ce (0.3207, 0.5315, 0.4103)  0.59
Ce (0.9685, 0.3788, 0.2892)  0.59
Ce (0.5315, 0.2108, 0.1212)  0.59
Ce (0.5896, 0.7108, 0.6793)  0.59
Ce (0.9685, 0.5897, 0.1793)  0.59
Ce (0.3207, 0.7892, 0.4104)  0.59
Ce (0.0897, 0.9104, 0.1212)  0.59
Ce (0.5897, 0.9685, 0.6793)  0.59
Ce (0.7108, 0.5896, 0.1793)  0.59
Ce (0.7892, 0.4685, 0.3788)  0.59
Ce (0.8207, 0.9103, 0.0315)  0.59
Ce (0.1212, 0.7108, 0.5315)  0.59
Ce (0.3788, 0.4103, 0.0896)  0.59
Ce (0.0896, 0.9103, 0.3788)  0.59
Ce (0.4104, 0.1212, 0.5897)  0.59
Ce (0.0896, 0.1793, 0.2108)  0.59
Ce (0.4685, 0.6793, 0.0897)  0.59
Ce (0.8207, 0.9104, 0.2892)  0.59
Ce (0.1212, 0.4104, 0.0897)  0.59
Ce (0.3788, 0.9685, 0.7892)  0.59
Ce (0.5897, 0.6212, 0.4104)  0.59
Ce (0.9103, 0.8207, 0.5315)  0.59
Ce (0.7892, 0.3207, 0.9104)  0.59
Ce (0.4103, 0.3788, 0.5896)  0.59
Ce (0.0897, 0.1793, 0.4685)  0.59
Ce (0.2108, 0.6793, 0.0896)  0.59
Ce (0.1793, 0.0896, 0.7108)  0.59
Ce (0.6212, 0.0315, 0.2108)  0.59
Ce (0.8788, 0.5896, 0.9103)  0.59
Ce (0.5315, 0.3207, 0.9103)  0.59
Ce (0.5896, 0.8788, 0.4103)  0.59
Ce (0.9104, 0.8207, 0.7892)  0.59
Ce (0.9104, 0.0897, 0.6212)  0.59
Ce (0.8788, 0.2892, 0.4685)  0.59
Ce (0.1793, 0.0897, 0.9685)  0.59
Ce (0.6212, 0.5897, 0.9104)  0.59
Ce (0.4103, 0.0315, 0.3207)  0.59
Ce (0.2892, 0.4104, 0.8207)  0.59
Ce (0.2108, 0.5315, 0.6212)  0.59
Ce (0.9103, 0.0896, 0.8788)  0.59
Ce (0.6793, 0.2108, 0.5896)  0.59
Ce (0.4685, 0.7892, 0.8788)  0.59
Ce (0.0315, 0.4103, 0.8207)  0.59
Ce (0.4104, 0.2892, 0.3207)  0.59
Ce (0.0315, 0.6212, 0.7108)  0.59
Ce (0.6793, 0.4685, 0.5897)  0.59
Ce (0.2892, 0.8788, 0.9685)  0.59
N (0.1250, 0.3750, 0.2500)  -0.02
N (0.0000, 0.5000, 0.0000)  -0.04
N (0.0000, 0.0000, 0.0000)  -0.04
N (0.3750, 0.2500, 0.1250)  -0.02
N (0.5000, 0.0000, 0.5000)  -0.04
N (0.5000, 0.5000, 0.0000)  -0.04
N (0.1250, 0.7500, 0.3750)  -0.02
N (0.7500, 0.1250, 0.8750)  -0.02
N (0.7500, 0.6250, 0.3750)  -0.02
N (0.3750, 0.1250, 0.7500)  -0.02
N (0.6250, 0.8750, 0.2500)  -0.02
N (0.5000, 0.5000, 0.5000)  -0.04
N (0.5000, 0.0000, 0.0000)  -0.04
N (0.0000, 0.0000, 0.5000)  -0.04
N (0.2500, 0.3750, 0.6250)  -0.02
N (0.2500, 0.8750, 0.1250)  -0.02
N (0.0000, 0.5000, 0.5000)  -0.04
N (0.8750, 0.2500, 0.6250)  -0.02
N (0.6250, 0.7500, 0.8750)  -0.02
N (0.8750, 0.6250, 0.7500)  -0.02


[5]
ThAl3Hg3: relaxed, PBE-GGA.

Computed properties:
Total energy (eV per atom): -2.41
ΔH_f (0 K) (eV per atom): 0.384

a b c (Å): 7.1642 7.1642 7.1642
angles (deg): 90.00 90.00 90.00
Element x y z (fractional)
Hg (0.2500, 0.0000, 0.5000)
Hg (0.0000, 0.5000, 0.2500)
Hg (0.5000, 0.7500, 0.0000)
Hg (0.7500, 0.0000, 0.5000)
Hg (0.0000, 0.5000, 0.7500)
Hg (0.5000, 0.2500, 0.0000)
Th (0.5000, 0.5000, 0.5000)
Th (0.0000, 0.0000, 0.0000)
Al (0.0000, 0.2500, 0.5000)
Al (0.0000, 0.7500, 0.5000)
Al (0.5000, 0.0000, 0.7500)
Al (0.7500, 0.5000, 0.0000)
Al (0.5000, 0.0000, 0.2500)
Al (0.2500, 0.5000, 0.0000)


[6]
LiGdTiRh: relaxed, PBE-GGA.

Computed properties:
Total energy (eV per atom): -8.05
ΔH_f (0 K) (eV per atom): -0.236

a b c (Å): 4.7054 4.7054 4.7054
angles (deg): 60.00 60.00 60.00
Last column: magnetic moment on the atom in μB.
Element x y z (fractional)
Gd (0.7500, 0.7500, 0.7500)  7.07
Rh (0.0000, 0.0000, 0.0000)  -0.12
Li (0.5000, 0.5000, 0.5000)  0.00
Ti (0.2500, 0.2500, 0.2500)  0.45


[7]
KLiTl2: relaxed, PBE-GGA.

Computed properties:
Total energy (eV per atom): -1.92
ΔH_f (0 K) (eV per atom): 0.016

a b c (Å): 7.5062 6.0472 3.6212
angles (deg): 86.79 66.91 120.21
Element x y z (fractional)
K (0.0000, 0.5000, 0.5000)
Li (0.5000, 0.5000, 0.0000)
Tl (0.0000, 0.0000, 0.0000)
Tl (0.5000, 0.0000, 0.5000)


[8]
LaPt6: relaxed, PBE-GGA.

Computed properties:
Total energy (eV per atom): -5.07
ΔH_f (0 K) (eV per atom): 0.813

a b c (Å): 6.0711 6.0711 6.0711
angles (deg): 90.00 90.00 90.00
Last column: magnetic moment on the atom in μB.
Element x y z (fractional)
La (0.0000, 0.0000, 0.0000)  0.38
Pt (0.8045, 0.5000, 0.5000)  0.03
Pt (0.5000, 0.5000, 0.1955)  0.03
Pt (0.5000, 0.5000, 0.8045)  0.03
Pt (0.5000, 0.8045, 0.5000)  0.03
Pt (0.5000, 0.1955, 0.5000)  0.03
Pt (0.1955, 0.5000, 0.5000)  0.03


[9]
In2GaSb2Au7: relaxed, PBE-GGA.

Computed properties:
Formation energy without anion corrections (eV per atom): -0.05
Total energy (eV per atom): -3.36

a b c (Å): 4.1192 4.1192 16.7522
angles (deg): 78.80 78.80 87.23
Element x y z (fractional)
In (0.6838, 0.6838, 0.7456)
In (0.3162, 0.3162, 0.2544)
Ga (0.0000, 0.0000, 0.0000)
Sb (0.6896, 0.6896, 0.4218)
Sb (0.3104, 0.3104, 0.5782)
Au (0.5000, 0.5000, 0.0000)
Au (0.1864, 0.1864, 0.4215)
Au (0.8136, 0.8136, 0.5785)
Au (0.9058, 0.4059, 0.1331)
Au (0.4059, 0.9058, 0.1331)
Au (0.5941, 0.0942, 0.8669)
Au (0.0942, 0.5941, 0.8669)


[10]
ScTi: relaxed, PBE-GGA.

Computed properties:
Total energy (eV per atom): -6.83
ΔH_f (0 K) (eV per atom): 0.288

a b c (Å): 8.7248 8.7248 4.7050
angles (deg): 90.00 90.00 90.00
Element x y z (fractional)
Sc (0.9250, 0.6603, 0.5000)
Sc (0.0750, 0.3397, 0.5000)
Sc (0.3397, 0.9250, 0.5000)
Sc (0.6603, 0.0750, 0.5000)
Sc (0.8708, 0.2443, 0.0000)
Sc (0.1292, 0.7557, 0.0000)
Sc (0.7557, 0.8708, 0.0000)
Sc (0.2443, 0.1292, 0.0000)
Ti (0.7062, 0.3944, 0.5000)
Ti (0.2938, 0.6056, 0.5000)
Ti (0.6056, 0.7062, 0.5000)
Ti (0.3944, 0.2938, 0.5000)
Ti (0.7412, 0.5545, 0.0000)
Ti (0.2588, 0.4455, 0.0000)
Ti (0.4455, 0.7412, 0.0000)
Ti (0.5545, 0.2588, 0.0000)


[11]
CeDyHgRu: relaxed, PBE-GGA.

Computed properties:
Total energy (eV per atom): -5.30
ΔH_f (0 K) (eV per atom): -0.272

a b c (Å): 5.0859 5.0859 5.0859
angles (deg): 60.00 60.00 60.00
Last column: magnetic moment on the atom in μB.
Element x y z (fractional)
Ru (0.0000, 0.0000, 0.0000)  -0.07
Hg (0.5000, 0.5000, 0.5000)  0.00
Ce (0.7500, 0.7500, 0.7500)  0.34
Dy (0.2500, 0.2500, 0.2500)  0.01


[12]
BaMn2Cl: relaxed, PBE-GGA.

Computed properties:
Formation energy without anion corrections (eV per atom): 0.66
Total energy (eV per atom): -4.87

a b c (Å): 5.4497 5.4497 5.4497
angles (deg): 60.00 60.00 60.00
Last column: magnetic moment on the atom in μB.
Element x y z (fractional)
Mn (0.2500, 0.2500, 0.2500)  4.14
Mn (0.7500, 0.7500, 0.7500)  4.14
Ba (0.5000, 0.5000, 0.5000)  -0.04
Cl (0.0000, 0.0000, 0.0000)  0.09


[13]
BeAgAu5: relaxed, PBE-GGA.

Computed properties:
Total energy (eV per atom): -3.33
ΔH_f (0 K) (eV per atom): -0.054

a b c (Å): 4.0768 4.0768 7.2458
angles (deg): 90.00 90.00 90.00
Element x y z (fractional)
Be (0.0000, 0.0000, 0.5000)
Ag (0.0000, 0.0000, 0.0000)
Au (0.5000, 0.0000, 0.6966)
Au (0.0000, 0.5000, 0.6966)
Au (0.5000, 0.5000, 0.0000)
Au (0.0000, 0.5000, 0.3034)
Au (0.5000, 0.0000, 0.3034)


[14]
BaCrIn3: relaxed, PBE-GGA.

Computed properties:
Total energy (eV per atom): -4.01
ΔH_f (0 K) (eV per atom): -0.054

a b c (Å): 5.2179 5.2179 5.2179
angles (deg): 90.00 90.00 90.00
Last column: magnetic moment on the atom in μB.
Element x y z (fractional)
Cr (0.0000, 0.0000, 0.0000)  1.55
Ba (0.5000, 0.5000, 0.5000)  -0.10
In (0.0000, 0.5000, 0.0000)  -0.07
In (0.0000, 0.0000, 0.5000)  -0.01
In (0.5000, 0.0000, 0.0000)  -0.09


[15]
Nb3ReMo3: relaxed, PBE-GGA.

Computed properties:
Total energy (eV per atom): -10.58
ΔH_f (0 K) (eV per atom): 0.152

a b c (Å): 5.2224 5.2224 10.2213
angles (deg): 93.10 93.10 118.45
Element x y z (fractional)
Nb (0.5140, 0.5140, 0.6247)
Nb (0.1687, 0.8313, 0.5000)
Nb (0.8313, 0.1687, 0.5000)
Nb (0.2498, 0.7502, 0.0000)
Nb (0.7502, 0.2498, 0.0000)
Nb (0.4860, 0.4860, 0.3753)
Re (0.3523, 0.3523, 0.1224)
Re (0.6477, 0.6477, 0.8776)
Mo (0.1325, 0.1325, 0.8556)
Mo (0.4724, 0.9592, 0.2577)
Mo (0.9592, 0.4724, 0.2577)
Mo (0.5276, 0.0408, 0.7423)
Mo (0.0408, 0.5276, 0.7423)
Mo (0.8675, 0.8675, 0.1444)


[16]
Hf6In5Sn: relaxed, PBE-GGA.

Computed properties:
Total energy (eV per atom): -6.54
ΔH_f (0 K) (eV per atom): -0.086

a b c (Å): 5.5944 10.2948 7.0016
angles (deg): 42.68 83.11 80.61
Element x y z (fractional)
Hf (0.7472, 0.0823, 0.3328)
Hf (0.2528, 0.5849, 0.3328)
Hf (0.2486, 0.2491, 0.0000)
Hf (0.7514, 0.7509, 0.0000)
Hf (0.7472, 0.4151, 0.6672)
Hf (0.2528, 0.9177, 0.6672)
In (0.5000, 0.1680, 0.6640)
In (0.0000, 0.3347, 0.3306)
In (0.5000, 0.5000, 0.0000)
In (0.0000, 0.6653, 0.6694)
In (0.5000, 0.8320, 0.3360)
Sn (0.0000, 0.0000, 0.0000)


[17]
Pr4CdGa2Ag: relaxed, PBE-GGA.

Computed properties:
Total energy (eV per atom): -4.02
ΔH_f (0 K) (eV per atom): -0.408

a b c (Å): 5.3490 5.3490 9.2922
angles (deg): 73.27 73.27 60.00
Element x y z (fractional)
Pr (0.3774, 0.3774, 0.8679)
Pr (0.8727, 0.8727, 0.3820)
Pr (0.1273, 0.1273, 0.6180)
Pr (0.6226, 0.6226, 0.1321)
Cd (0.0000, 0.0000, 0.0000)
Ga (0.7477, 0.7477, 0.7570)
Ga (0.2523, 0.2523, 0.2430)
Ag (0.5000, 0.5000, 0.5000)


[18]
Pm16Pr7Y6: relaxed, PBE-GGA.

Computed properties:
Total energy (eV per atom): -4.89
ΔH_f (0 K) (eV per atom): 0.224

a b c (Å): 11.4023 11.4023 11.4023
angles (deg): 60.00 60.00 60.00
Element x y z (fractional)
Pm (0.8746, 0.8746, 0.3763)
Pm (0.8746, 0.8746, 0.8746)
Pm (0.8746, 0.3763, 0.8746)
Pm (0.3763, 0.8746, 0.8746)
Pm (0.1254, 0.1254, 0.1254)
Pm (0.1254, 0.1254, 0.6237)
Pm (0.1254, 0.6237, 0.1254)
Pm (0.6237, 0.1254, 0.1254)
Pm (0.6524, 0.6524, 0.0428)
Pm (0.6524, 0.6524, 0.6524)
Pm (0.6524, 0.0428, 0.6524)
Pm (0.0428, 0.6524, 0.6524)
Pm (0.3476, 0.3476, 0.3476)
Pm (0.3476, 0.3476, 0.9572)
Pm (0.3476, 0.9572, 0.3476)
Pm (0.9572, 0.3476, 0.3476)
Pr (0.0000, 0.0000, 0.0000)
Pr (0.5000, 0.0000, 0.5000)
Pr (0.0000, 0.5000, 0.0000)
Pr (0.0000, 0.5000, 0.5000)
Pr (0.5000, 0.0000, 0.0000)
Pr (0.0000, 0.0000, 0.5000)
Pr (0.5000, 0.5000, 0.0000)
Y (0.2685, 0.7315, 0.2685)
Y (0.7315, 0.2685, 0.7315)
Y (0.7315, 0.2685, 0.2685)
Y (0.2685, 0.7315, 0.7315)
Y (0.7315, 0.7315, 0.2685)
Y (0.2685, 0.2685, 0.7315)